1.
# Rb2BaInI5

Crystalline Rb2BaInI5 at its relaxed geometry (GGA-PBE, Alexandria via LeMat-Bulk).

Cell lengths 5.1805, 11.1669, 16.9769 Å; angles 90.00, 90.00, 103.41 degrees
Positions (direct):
I 0.0796 0.1593 0.0727
I 0.6111 0.2223 0.4906
Ba 0.7667 0.5334 0.5305
Ba 0.2333 0.4666 0.0305
I 0.7098 0.4196 0.8970
Rb 0.9201 0.8402 0.1530
I 0.7465 0.4929 0.1696
I 0.2535 0.5071 0.6696
I 0.9204 0.8407 0.5727
Rb 0.1271 0.2542 0.2987
In 0.5500 0.1000 0.9484
In 0.4500 0.9000 0.4484
Rb 0.8729 0.7458 0.7987
I 0.3889 0.7777 0.9906
I 0.4957 0.9915 0.7636
Rb 0.0799 0.1598 0.6530
I 0.2902 0.5804 0.3970
I 0.5043 0.0085 0.2636

Fermi-level density of states ... 0.0 states/eV/cell
VASP energy ... -52.7 eV per cell
Space group ... Cmc2_1, No. 36
ΔE_f (raw) ... -1.332 eV per atom

=====

2.
# BaIn2RhI

Crystalline BaIn2RhI at its relaxed geometry (GGA-PBE, Alexandria via LeMat-Bulk).

Cell lengths 5.2170, 5.2170, 6.1207 Å; angles 90.00, 90.00, 90.00 degrees
Positions (direct):
Rh 0.0000 0.0000 0.0000
In 0.5000 0.0000 0.0000
Ba 0.0000 0.0000 0.5000
I 0.5000 0.5000 0.5000
In 0.0000 0.5000 0.0000

Fermi-level density of states ... 1.0 states/eV/cell
VASP energy ... -19.7 eV per cell
Space group ... P4/mmm, No. 123
ΔE_f (raw) ... -0.671 eV per atom

=====

3.
# BaInS2I

Crystalline BaInS2I at its relaxed geometry (GGA-PBE, Alexandria via LeMat-Bulk).

Cell lengths 5.6176, 7.9061, 9.0392 Å; angles 101.44, 90.00, 90.00 degrees
Positions (direct):
I 0.7500 0.4261 0.2817
Ba 0.7500 0.2354 0.6354
S 0.7500 0.9217 0.3651
S 0.2500 0.0783 0.6349
Ba 0.2500 0.7646 0.3646
In 0.7500 0.0557 0.1461
In 0.2500 0.9443 0.8539
S 0.2500 0.0290 0.1284
S 0.7500 0.9710 0.8716
I 0.2500 0.5739 0.7183

Fermi-level density of states ... 0.0 states/eV/cell
VASP energy ... -40.6 eV per cell
Space group ... P2_1/m, No. 11
ΔE_f (raw) ... -1.168 eV per atom

=====

4.
# BaInSbI2

Crystalline BaInSbI2 at its relaxed geometry (GGA-PBE, Alexandria via LeMat-Bulk).

Cell lengths 6.0263, 6.0263, 5.7679 Å; angles 90.00, 90.00, 90.00 degrees
Positions (direct):
I 0.5000 0.0000 0.0000
Ba 0.5000 0.5000 0.5000
I 0.0000 0.5000 0.0000
Sb 0.0000 0.0000 0.5000
In 0.0000 0.0000 0.0000

Fermi-level density of states ... 4.8 states/eV/cell
VASP energy ... -14.6 eV per cell
Space group ... P4/mmm, No. 123
Energy above the most stable polymorph in this dataset ... 0 meV/atom
ΔE_f (raw) ... -0.545 eV per atom

=====

Among the records above, which one has the highest VASP energy? BaInSbI2

=====

Which of these has the lowest ΔE_f (raw)? Rb2BaInI5

=====

What is the VASP energy in the second record? -19.7 eV per cell

=====

Which value of ΔE_f (raw) does entry 2 give? -0.671 eV per atom